! CuPb2S3 (GGA-PBE, relaxed); values from VASP
! **Raw formation energy**: -0.323 eV/atom
! **E_tot**: -25.832 eV for the cell shown
! **Size of the total moment**: 0.00 μB/cell
! **N(E_F)**: 0.559 states/eV/atom
&SYSTEM
  ibrav = 0, nat = 6, ntyp = 3
/
ATOMIC_SPECIES
Cu 63.55 Cu.upf
Pb 207.20 Pb.upf
S 32.06 S.upf
ATOMIC_POSITIONS crystal
Cu 0.000 0.000 0.000
Pb 0.407 0.066 0.341
Pb 0.725 0.066 0.659
S 0.007 0.145 0.862
S 0.282 0.145 0.138
S 0.774 0.274 0.500
CELL_PARAMETERS angstrom
-2.059 8.170 2.212
2.059 -8.170 2.212
2.059 8.170 -2.212